P:
The following is a PBE calculation of a relaxed Ti2Cd2Pb crystal, from the Alexandria database.

```
Ti2Cd2Pb
1.0
7.1781 0.0000 0.0000
0.0000 7.1781 0.0000
0.0000 0.0000 4.2814
Ti Cd Pb
4 4 2
Cartesian
0.9448 2.6442 0.0000
2.6442 6.2332 0.0000
4.5339 0.9448 0.0000
6.2332 4.5339 0.0000
1.1473 4.7363 2.1407
2.4417 1.1473 2.1407
4.7363 6.0308 2.1407
6.0308 2.4417 2.1407
0.0000 0.0000 0.0000
3.5890 3.5890 0.0000
```

Summary:
Fermi-level density of states ... 0.67 states/eV/atom



Q:
The following is a PBE calculation of a relaxed Ti2Cd2Pb crystal, from the Alexandria database.

```
Ti2Cd2Pb
1.0
8.2035 0.0000 0.0000
0.0000 8.2035 0.0000
0.0000 0.0000 3.1887
Ti Cd Pb
4 4 2
Cartesian
1.4113 2.6905 0.0000
2.6905 6.7922 0.0000
5.5130 1.4113 0.0000
6.7922 5.5130 0.0000
1.0221 5.1239 1.5943
3.0797 1.0221 1.5943
5.1239 7.1814 1.5943
7.1814 3.0797 1.5943
0.0000 0.0000 1.5943
4.1018 4.1018 1.5943
```

Summary:
Fermi-level density of states ... 1.10 states/eV/atom



R:
The following is a PBE calculation of a relaxed Ti2Cd2Pb crystal, from the Alexandria database.

```
Ti2Cd2Pb
1.0
-2.0240 2.0240 6.7037
2.0240 -2.0240 6.7037
2.0240 2.0240 -6.7037
Ti Cd Pb
2 2 1
Cartesian
0.0000 0.0000 1.0630
0.0000 0.0000 12.3443
2.0240 0.0000 3.3518
0.0000 2.0240 3.3518
0.0000 0.0000 6.7037
```

Summary:
Fermi-level density of states ... 0.54 states/eV/atom



Name the most stable of them. P.



P:
The following is a PBE calculation of a relaxed Tl8CdPb2 crystal, from the Alexandria database.

```
Tl8CdPb2
1.0
9.3672 -2.2644 0.0000
9.3672 2.2644 0.0000
-2.0746 0.0000 7.8520
Tl Cd Pb
8 1 2
Cartesian
0.3640 0.0000 1.8801
1.0760 0.0000 5.3964
4.7514 0.0000 4.5871
7.5830 0.0000 0.3249
9.0768 0.0000 7.5270
11.9084 0.0000 3.2649
15.5839 0.0000 2.4556
16.2958 0.0000 5.9718
8.3299 0.0000 3.9260
3.9940 0.0000 1.0473
12.6658 0.0000 6.8047
```

Summary:
Fermi-level density of states ... 0.34 states/eV/atom



Q:
The following is a PBE calculation of a relaxed Tl8CdPb2 crystal, from the Alexandria database.

```
Tl8CdPb2
1.0
6.5134 -5.1855 0.0000
6.5134 5.1855 0.0000
-1.4466 0.0000 5.5737
Tl Cd Pb
8 1 2
Cartesian
0.0635 0.0000 4.5333
4.4957 2.6880 3.9358
2.5444 0.0000 2.2414
7.0845 2.6880 1.6379
4.4957 -2.6880 3.9358
9.0358 0.0000 3.3324
7.0845 -2.6880 1.6379
11.5167 0.0000 1.0404
5.7901 0.0000 2.7869
3.3980 0.0000 5.4377
8.1822 0.0000 0.1360
```

Summary:
Fermi-level density of states ... 0.59 states/eV/atom



Name the most stable of them. P.



P:
The following is a PBE calculation of a relaxed TlCd2Pb6 crystal, from the Alexandria database.

```
TlCd2Pb6
1.0
6.5788 0.0000 0.0000
0.0000 6.5788 0.0000
0.0000 0.0000 15.4006
Tl Cd Pb
2 4 12
Cartesian
0.0000 0.0000 0.0000
3.2894 3.2894 7.7003
0.0000 0.0000 5.2346
0.0000 0.0000 10.1659
3.2894 3.2894 2.4656
3.2894 3.2894 12.9349
1.1843 1.1843 7.7003
1.2204 1.2204 2.7588
1.2204 1.2204 12.6418
2.0690 4.5098 4.9415
2.0690 4.5098 10.4590
2.1051 4.4737 0.0000
4.4737 2.1051 0.0000
4.5098 2.0690 4.9415
4.5098 2.0690 10.4590
5.3584 5.3584 2.7588
5.3584 5.3584 12.6418
5.3945 5.3945 7.7003
```

Summary:
Fermi-level density of states ... 0.53 states/eV/atom



Q:
The following is a PBE calculation of a relaxed TlCd2Pb6 crystal, from the Alexandria database.

```
TlCd2Pb6
1.0
5.0865 -5.7761 0.0000
5.0865 5.7761 0.0000
-1.7106 0.0000 9.1675
Tl Cd Pb
2 4 12
Cartesian
3.8036 4.2927 6.8756
4.6589 -4.2927 2.2919
1.2842 1.5139 5.3221
2.1395 -1.5139 0.7384
6.3229 1.5139 8.4290
7.1782 -1.5139 3.8453
3.8177 4.4412 0.7673
2.9454 1.4553 2.3403
5.5001 4.4412 3.8164
2.9779 1.4807 8.3984
4.6293 1.4807 5.3528
2.0901 -1.4553 6.9240
6.3723 1.4553 2.2434
3.8332 -1.4807 3.8147
5.4845 -1.4807 0.7691
2.9624 -4.4412 5.3510
5.5170 -1.4553 6.8271
4.6448 -4.4412 8.4001
```

Summary:
Fermi-level density of states ... 0.45 states/eV/atom



Name the most stable of them. Q.



P:
The following is a PBE calculation of a relaxed Tl2CdPb3 crystal, from the Alexandria database.

```
Tl2CdPb3
1.0
4.9847 -5.4225 0.0000
4.9847 5.4225 0.0000
0.0000 0.0000 6.8262
Tl Cd Pb
4 2 6
Cartesian
3.2517 2.8831 5.1196
6.7177 2.8831 5.1196
3.2517 -2.8831 1.7065
6.7177 -2.8831 1.7065
4.9847 2.5363 1.7065
4.9847 -2.5363 5.1196
0.0000 0.0000 0.0000
0.0000 0.0000 3.4131
3.3477 0.0000 0.0000
3.3477 0.0000 3.4131
6.6217 0.0000 0.0000
6.6217 0.0000 3.4131
```

Summary:
Fermi-level density of states ... 0.43 states/eV/atom



Q:
The following is a PBE calculation of a relaxed Tl2CdPb3 crystal, from the Alexandria database.

```
Tl2CdPb3
1.0
6.5226 -3.3760 0.0000
6.5226 3.3760 0.0000
-3.2996 0.0000 8.5500
Tl Cd Pb
4 2 6
Cartesian
1.9135 0.1384 0.6579
0.2637 -0.1384 4.9329
9.4819 0.1384 3.6171
7.8321 -0.1384 7.8920
5.6977 1.6998 2.1375
4.0479 -1.6998 6.4125
4.0479 1.7995 6.4125
3.3232 0.1226 3.6541
1.6734 -0.1226 7.9291
8.0722 0.1226 0.6209
6.4224 -0.1226 4.8959
5.6977 -1.7995 2.1375
```

Summary:
Fermi-level density of states ... 0.47 states/eV/atom



Name the most stable of them. P.



P:
The following is a PBE calculation of a relaxed Tl2CdPb2 crystal, from the Alexandria database.

```
Tl2CdPb2
1.0
8.0530 0.0000 0.0000
0.0000 8.0530 0.0000
0.0000 0.0000 4.9307
Tl Cd Pb
4 2 4
Cartesian
1.2753 2.7512 0.0000
2.7512 6.7777 0.0000
5.3018 1.2753 0.0000
6.7777 5.3018 0.0000
0.0000 0.0000 2.4654
4.0265 4.0265 2.4654
1.1677 5.1942 2.4654
2.8587 1.1677 2.4654
5.1942 6.8852 2.4654
6.8852 2.8587 2.4654
```

Summary:
Fermi-level density of states ... 0.49 states/eV/atom



Q:
The following is a PBE calculation of a relaxed Tl2CdPb2 crystal, from the Alexandria database.

```
Tl2CdPb2
1.0
-1.7796 1.7796 11.7500
1.7796 -1.7796 11.7500
1.7796 1.7796 -11.7500
Tl Cd Pb
2 1 2
Cartesian
0.0000 0.0000 2.1913
0.0000 0.0000 21.3086
0.0000 0.0000 11.7500
0.0000 0.0000 7.0568
0.0000 0.0000 16.4431
```

Summary:
Fermi-level density of states ... 0.34 states/eV/atom



Name the most stable of them. Q.



P:
The following is a PBE calculation of a relaxed Tl2CdPb2 crystal, from the Alexandria database.

```
Tl2CdPb2
1.0
-2.2028 2.2028 8.3235
2.2028 -2.2028 8.3235
2.2028 2.2028 -8.3235
Tl Cd Pb
2 1 2
Cartesian
2.2028 0.0000 4.1618
0.0000 2.2028 4.1618
0.0000 0.0000 0.0000
0.0000 0.0000 6.7445
0.0000 0.0000 9.9026
```

Summary:
Fermi-level density of states ... 0.48 states/eV/atom



Q:
The following is a PBE calculation of a relaxed Tl2CdPb2 crystal, from the Alexandria database.

```
Tl2CdPb2
1.0
-2.2675 2.2675 8.2347
2.2675 -2.2675 8.2347
2.2675 2.2675 -8.2347
Tl Cd Pb
2 1 2
Cartesian
0.0000 0.0000 1.5836
0.0000 0.0000 14.8859
0.0000 0.0000 8.2347
2.2675 0.0000 4.1174
0.0000 2.2675 4.1174
```

Summary:
Fermi-level density of states ... 0.70 states/eV/atom



R:
The following is a PBE calculation of a relaxed Tl2CdPb2 crystal, from the Alexandria database.

```
Tl2CdPb2
1.0
9.5582 0.0000 0.0000
0.0000 9.5582 0.0000
0.0000 0.0000 3.5373
Tl Cd Pb
4 2 4
Cartesian
1.6376 3.1414 0.0000
3.1414 7.9205 0.0000
6.4167 1.6376 0.0000
7.9205 6.4167 0.0000
0.0000 0.0000 0.0000
4.7791 4.7791 0.0000
1.2050 5.9841 1.7687
3.5741 1.2050 1.7687
5.9841 8.3532 1.7687
8.3532 3.5741 1.7687
```

Summary:
Fermi-level density of states ... 0.56 states/eV/atom



Name the most stable of them. R.